# CaEuDy2 PBE optimized geometry
# Raw total energy ... -5.190 eV per atom
# Energy of formation from the pure elements ... 0.18 eV per atom
# Theoretical density ... 6.1 Mg/m³
# Magnetization ... 7.5 Bohr magnetons per cell
# Distance to the lowest polymorph of the same formula ... 0.060 eV/atom
data_CaEuDy2
_symmetry_space_group_name_H-M 'P 4/m m m'
_symmetry_Int_Tables_number 123
_symmetry_space_group_name_Hall '-P 4 2'
_cell_length_a 5.852
_cell_length_b 5.852
_cell_length_c 4.117
_cell_angle_alpha 90.00
_cell_angle_beta 90.00
_cell_angle_gamma 90.00
loop_
_atom_site_label
_atom_site_type_symbol
_atom_site_fract_x
_atom_site_fract_y
_atom_site_fract_z
Ca1 Ca 0.000 0.000 0.000
Eu1 Eu 0.500 0.500 0.000
Dy1 Dy 0.000 0.500 0.500